PBE-GGA Al5Bi3Se12, relaxed; total moment = 0.0 μB/cell; crystal system = cubic; formation energy (no corrections) = -611.2 meV per atom
1.0
-0.458 2.968 13.490
3.529 -13.256 -1.684
9.357 8.079 -6.179
Se Al Bi
48 20 12
Direct
0.586 0.880 0.408
0.914 0.823 0.794
0.971 0.592 0.177
0.880 0.294 0.471
0.177 0.092 0.971
0.620 0.592 0.914
0.092 0.177 0.471
0.294 0.880 0.971
0.206 0.677 0.086
0.529 0.323 0.908
0.823 0.908 0.029
0.380 0.408 0.086
0.408 0.380 0.586
0.380 0.971 0.794
0.120 0.706 0.529
0.086 0.908 0.380
0.294 0.414 0.823
0.414 0.120 0.592
0.120 0.414 0.092
0.592 0.971 0.677
0.880 0.586 0.908
0.408 0.029 0.323
0.529 0.206 0.120
0.029 0.620 0.706
0.323 0.529 0.408
0.471 0.677 0.092
0.677 0.471 0.592
0.092 0.914 0.120
0.177 0.086 0.706
0.586 0.706 0.677
0.706 0.120 0.029
0.471 0.794 0.880
0.914 0.092 0.620
0.706 0.586 0.177
0.823 0.914 0.294
0.592 0.620 0.414
0.086 0.177 0.206
0.206 0.529 0.620
0.908 0.086 0.880
0.794 0.323 0.914
0.620 0.029 0.206
0.794 0.471 0.380
0.908 0.823 0.529
0.323 0.794 0.414
0.971 0.380 0.294
0.029 0.408 0.823
0.677 0.206 0.586
0.414 0.294 0.323
0.500 0.000 0.500
0.625 0.750 0.875
0.000 0.000 0.000
0.125 0.375 0.250
0.250 0.375 0.625
0.875 0.250 0.625
0.125 0.750 0.375
0.375 0.125 0.750
0.750 0.625 0.375
0.375 0.250 0.125
0.875 0.625 0.750
0.625 0.875 0.250
0.000 0.000 0.500
0.000 0.500 0.500
0.750 0.125 0.875
0.000 0.500 0.000
0.500 0.000 0.000
0.500 0.500 0.500
0.250 0.875 0.125
0.500 0.500 0.000
0.125 0.250 0.875
0.625 0.375 0.750
0.875 0.125 0.250
0.375 0.750 0.625
0.375 0.625 0.250
0.125 0.875 0.750
0.875 0.750 0.125
0.250 0.125 0.375
0.625 0.250 0.375
0.750 0.375 0.125
0.750 0.875 0.625
0.250 0.625 0.875